Record 1
! Ho4Ga2C | the Alexandria database | PBE | relaxed; values from VASP
&SYSTEM
  ibrav = 0, nat = 14, ntyp = 3
/
ATOMIC_SPECIES
Ho 164.93 Ho.upf
Ga 69.72 Ga.upf
C 12.01 C.upf
ATOMIC_POSITIONS crystal
Ho 0.211 0.250 0.098
Ho 0.269 0.507 0.757
Ho 0.269 0.993 0.757
Ho 0.279 0.750 0.410
Ho 0.721 0.250 0.590
Ho 0.731 0.007 0.243
Ho 0.731 0.493 0.243
Ho 0.789 0.750 0.902
Ga 0.179 0.250 0.440
Ga 0.303 0.750 0.067
Ga 0.697 0.250 0.933
Ga 0.821 0.750 0.560
C 0.492 0.250 0.339
C 0.508 0.750 0.661
CELL_PARAMETERS angstrom
5.600 0.000 0.000
0.000 6.558 0.000
-1.426 0.000 8.700
! Energy relative to the elements: -0.351 eV/atom
! Uncorrected energy: -72.096 eV/cell
! Energy above the lowest structure with this stoichiometry: 0.127 eV/atom
! N(E_F): 0.3238 states/eV per atom

***

Record 2
! Ho5Ga2C | the Alexandria database | PBE | relaxed; values from VASP
&SYSTEM
  ibrav = 0, nat = 16, ntyp = 3
/
ATOMIC_SPECIES
Ho 164.93 Ho.upf
Ga 69.72 Ga.upf
C 12.01 C.upf
ATOMIC_POSITIONS crystal
Ho 0.081 0.919 0.603
Ho 0.081 0.919 0.897
Ho 0.300 0.700 0.250
Ho 0.303 0.697 0.591
Ho 0.303 0.697 0.909
Ho 0.697 0.303 0.091
Ho 0.697 0.303 0.409
Ho 0.700 0.300 0.750
Ho 0.919 0.081 0.103
Ho 0.919 0.081 0.397
Ga 0.111 0.889 0.143
Ga 0.111 0.889 0.357
Ga 0.889 0.111 0.643
Ga 0.889 0.111 0.857
C 0.189 0.811 0.750
C 0.811 0.189 0.250
CELL_PARAMETERS angstrom
2.520 -7.643 0.000
2.520 7.643 0.000
0.000 0.000 11.530
! Energy relative to the elements: -0.087 eV/atom
! Uncorrected energy: -77.730 eV/cell
! N(E_F): 0.9574 states/eV per atom

***

Record 3
! Ho4Ga2C | the Alexandria database | PBE | relaxed; values from VASP
&SYSTEM
  ibrav = 0, nat = 14, ntyp = 3
/
ATOMIC_SPECIES
Ho 164.93 Ho.upf
Ga 69.72 Ga.upf
C 12.01 C.upf
ATOMIC_POSITIONS crystal
Ho 0.086 0.000 0.339
Ho 0.154 0.500 0.062
Ho 0.346 0.000 0.938
Ho 0.414 0.500 0.661
Ho 0.586 0.500 0.339
Ho 0.654 0.000 0.062
Ho 0.846 0.500 0.938
Ho 0.914 0.000 0.661
Ga 0.123 0.500 0.659
Ga 0.377 0.000 0.341
Ga 0.623 0.000 0.659
Ga 0.877 0.500 0.341
C 0.000 0.000 0.000
C 0.500 0.500 0.000
CELL_PARAMETERS angstrom
12.089 0.000 0.000
0.000 3.711 0.000
-4.766 0.000 7.024
! Energy relative to the elements: -0.479 eV/atom
! Uncorrected energy: -73.878 eV/cell
! Energy above the lowest structure with this stoichiometry: 0.000 eV/atom
! N(E_F): 0.6520 states/eV per atom

***

Record 4
! Ho4Ga2C | the Alexandria database | PBE | relaxed; values from VASP
&SYSTEM
  ibrav = 0, nat = 14, ntyp = 3
/
ATOMIC_SPECIES
Ho 164.93 Ho.upf
Ga 69.72 Ga.upf
C 12.01 C.upf
ATOMIC_POSITIONS crystal
Ho 0.000 0.000 0.171
Ho 0.000 0.000 0.829
Ho 0.000 0.500 0.000
Ho 0.000 0.500 0.500
Ho 0.500 0.000 0.000
Ho 0.500 0.000 0.500
Ho 0.500 0.500 0.329
Ho 0.500 0.500 0.671
Ga 0.000 0.000 0.376
Ga 0.000 0.000 0.624
Ga 0.500 0.500 0.124
Ga 0.500 0.500 0.876
C 0.000 0.000 0.000
C 0.500 0.500 0.500
CELL_PARAMETERS angstrom
4.854 0.000 0.000
0.000 4.854 0.000
0.000 0.000 14.151
! Energy relative to the elements: -0.437 eV/atom
! Uncorrected energy: -73.292 eV/cell
! Energy above the lowest structure with this stoichiometry: 0.042 eV/atom
! N(E_F): 0.0976 states/eV per atom

***

Please write out number 4 again, unchanged.
! Ho4Ga2C | the Alexandria database | PBE | relaxed; values from VASP
&SYSTEM
  ibrav = 0, nat = 14, ntyp = 3
/
ATOMIC_SPECIES
Ho 164.93 Ho.upf
Ga 69.72 Ga.upf
C 12.01 C.upf
ATOMIC_POSITIONS crystal
Ho 0.000 0.000 0.171
Ho 0.000 0.000 0.829
Ho 0.000 0.500 0.000
Ho 0.000 0.500 0.500
Ho 0.500 0.000 0.000
Ho 0.500 0.000 0.500
Ho 0.500 0.500 0.329
Ho 0.500 0.500 0.671
Ga 0.000 0.000 0.376
Ga 0.000 0.000 0.624
Ga 0.500 0.500 0.124
Ga 0.500 0.500 0.876
C 0.000 0.000 0.000
C 0.500 0.500 0.500
CELL_PARAMETERS angstrom
4.854 0.000 0.000
0.000 4.854 0.000
0.000 0.000 14.151
! Energy relative to the elements: -0.437 eV/atom
! Uncorrected energy: -73.292 eV/cell
! Energy above the lowest structure with this stoichiometry: 0.042 eV/atom
! N(E_F): 0.0976 states/eV per atom

***

- Which value of energy relative to the elements does entry 4 give?
  -0.437 eV/atom

***

What did the fourth record say?
! Ho4Ga2C | the Alexandria database | PBE | relaxed; values from VASP
&SYSTEM
  ibrav = 0, nat = 14, ntyp = 3
/
ATOMIC_SPECIES
Ho 164.93 Ho.upf
Ga 69.72 Ga.upf
C 12.01 C.upf
ATOMIC_POSITIONS crystal
Ho 0.000 0.000 0.171
Ho 0.000 0.000 0.829
Ho 0.000 0.500 0.000
Ho 0.000 0.500 0.500
Ho 0.500 0.000 0.000
Ho 0.500 0.000 0.500
Ho 0.500 0.500 0.329
Ho 0.500 0.500 0.671
Ga 0.000 0.000 0.376
Ga 0.000 0.000 0.624
Ga 0.500 0.500 0.124
Ga 0.500 0.500 0.876
C 0.000 0.000 0.000
C 0.500 0.500 0.500
CELL_PARAMETERS angstrom
4.854 0.000 0.000
0.000 4.854 0.000
0.000 0.000 14.151
! Energy relative to the elements: -0.437 eV/atom
! Uncorrected energy: -73.292 eV/cell
! Energy above the lowest structure with this stoichiometry: 0.042 eV/atom
! N(E_F): 0.0976 states/eV per atom